(1)
Entry from the Alexandria database: crystalline Ce2HfN3 at its relaxed geometry (GGA-PBE).

Cell: 3.4597 3.4597 14.6018 Å, 90.00 90.00 90.00°
With the nearest neighbours (Å) after each atom.
Space group I4/mmm (No. 139)
Unique sites:
Ce: 0.0000 0.0000 0.1645 (multiplicity 4)  6 N 2.40-2.67
Hf: 0.0000 0.0000 0.5000 (multiplicity 2)  6 N 2.23-2.45
N: 0.0000 0.0000 0.0000 (multiplicity 2)  2 Ce 2.40, 4 Hf 2.45
N: 0.0000 0.0000 0.3471 (multiplicity 4)  1 Hf 2.23, 4 Ce 2.45

**Formation energy from raw total energies**: -1.53 eV/atom
**Total magnetization**: 0.000 μB/atom
**Calculated density**: 9.5 g/cm³
**Final energy**: -9.326 eV/atom
**Crystal system**: tetragonal

***

(2)
Entry from the Alexandria database: crystalline Zn2SnRhPb at its relaxed geometry (GGA-PBE).

Cell: 4.9982 4.9982 5.9656 Å, 90.00 90.00 90.00°
With the nearest neighbours (Å) after each atom.
Space group P4/mmm (No. 123)
Unique sites:
Zn: 0.0000 0.5000 0.0000 (multiplicity 2)  2 Pb 2.50
Sn: 0.0000 0.0000 0.5000 (multiplicity 1)  2 Pb 2.98
Rh: 0.5000 0.5000 0.5000 (multiplicity 1)  4 Sn 3.53, 8 Zn 3.89
Pb: 0.0000 0.0000 0.0000 (multiplicity 1)  4 Zn 2.50

**Total magnetization**: 0.113 μB/atom
**Calculated density**: 6.2 g/cm³
**Final energy**: -2.331 eV/atom
**Energy of formation**: 1.191 eV/atom
**Crystal system**: tetragonal